1.
Below is a relaxed structure of Tl4CdSn2Hg2, with properties calculated at the PBE-GGA level.

Cell: 6.364 6.371 7.439 Å, 103.97 101.39 105.75°
Fractional coordinates of all 9 atoms:
Tl: 0.128 0.215 0.248
Tl: 0.305 0.366 0.756
Tl: 0.695 0.634 0.244
Tl: 0.872 0.785 0.752
Cd: 0.500 0.000 0.000
Sn: 0.186 0.706 0.149
Sn: 0.814 0.294 0.851
Hg: 0.303 0.791 0.573
Hg: 0.697 0.209 0.427

Values from the calculation:
* E: -2.08 eV per atom
* V: 270.3 Å³ per cell



2.
Below is a relaxed structure of Tl2CdSnHg6, with properties calculated at the PBE-GGA level.

Cell: 7.942 7.942 7.942 Å, 60.00 60.00 60.00°
Fractional coordinates of all 10 atoms:
Tl: 0.250 0.250 0.250
Tl: 0.750 0.750 0.750
Cd: 0.000 0.000 0.000
Sn: 0.500 0.500 0.500
Hg: 0.247 0.247 0.753
Hg: 0.247 0.753 0.247
Hg: 0.247 0.753 0.753
Hg: 0.753 0.247 0.247
Hg: 0.753 0.247 0.753
Hg: 0.753 0.753 0.247

Values from the calculation:
* E: -0.99 eV per atom
* V: 354.2 Å³ per cell



3.
Below is a relaxed structure of Tl2Cd2SnHg, with properties calculated at the PBE-GGA level.

Cell: 9.634 9.634 9.634 Å, 143.20 55.02 140.59°
Fractional coordinates of all 12 atoms:
Tl: 0.180 0.236 0.416
Tl: 0.320 0.736 0.056
Tl: 0.680 0.264 0.944
Tl: 0.820 0.764 0.584
Cd: 0.134 0.739 0.873
Cd: 0.366 0.239 0.604
Cd: 0.634 0.761 0.396
Cd: 0.866 0.261 0.127
Sn: 0.250 0.750 0.500
Sn: 0.750 0.250 0.500
Hg: 0.250 0.250 0.000
Hg: 0.750 0.750 0.000

Values from the calculation:
* E: -1.76 eV per atom
* V: 337.7 Å³ per cell



4.
Below is a relaxed structure of Tl3Cd2SnHg3, with properties calculated at the PBE-GGA level.

Cell: 9.214 9.214 3.424 Å, 90.00 90.00 120.00°
Fractional coordinates of all 9 atoms:
Tl: 0.000 0.699 0.000
Tl: 0.301 0.301 0.000
Tl: 0.699 0.000 0.000
Cd: 0.333 0.667 0.000
Cd: 0.667 0.333 0.000
Sn: 0.000 0.000 0.500
Hg: 0.000 0.368 0.500
Hg: 0.368 0.000 0.500
Hg: 0.632 0.632 0.500

Values from the calculation:
* E: -1.49 eV per atom
* V: 251.7 Å³ per cell



5.
Below is a relaxed structure of CdSnHg2W, with properties calculated at the PBE-GGA level.

Cell: 5.288 5.288 5.597 Å, 90.00 90.00 90.00°
Fractional coordinates of all 5 atoms:
Cd: 0.000 0.000 0.000
Sn: 0.000 0.000 0.500
Hg: 0.000 0.500 0.000
Hg: 0.500 0.000 0.000
W: 0.500 0.500 0.500

Values from the calculation:
* E: -2.17 eV per atom
* V: 156.5 Å³ per cell



6.
Below is a relaxed structure of YCdSnHg, with properties calculated at the PBE-GGA level.

Cell: 5.218 5.218 5.218 Å, 60.00 60.00 60.00°
Fractional coordinates of all 4 atoms:
Y: 0.000 0.000 0.000
Cd: 0.500 0.500 0.500
Sn: 0.750 0.750 0.750
Hg: 0.250 0.250 0.250

Values from the calculation:
* E: -3.19 eV per atom
* V: 100.5 Å³ per cell
* E above lowest polymorph: 0.663 eV per formula unit



7.
Below is a relaxed structure of YCdSnHg, with properties calculated at the PBE-GGA level.

Cell: 4.389 4.562 4.870 Å, 90.00 90.00 90.00°
Fractional coordinates of all 4 atoms:
Y: 0.000 0.000 0.000
Cd: 0.000 0.500 0.500
Sn: 0.500 0.500 0.000
Hg: 0.500 0.000 0.500

Values from the calculation:
* E: -3.36 eV per atom
* V: 97.5 Å³ per cell
* E above lowest polymorph: 0.000 eV per formula unit



8.
Below is a relaxed structure of ZrCd2SnHg, with properties calculated at the PBE-GGA level.

Cell: 5.583 5.583 5.464 Å, 90.00 90.00 90.00°
Fractional coordinates of all 5 atoms:
Zr: 0.000 0.000 0.000
Cd: 0.000 0.500 0.000
Cd: 0.500 0.000 0.000
Sn: 0.500 0.500 0.500
Hg: 0.000 0.000 0.500

Values from the calculation:
* E: -2.17 eV per atom
* V: 170.3 Å³ per cell



9.
Below is a relaxed structure of SrCd2Hg2, with properties calculated at the PBE-GGA level.

Cell: 8.507 8.507 3.838 Å, 90.00 90.00 90.00°
Fractional coordinates of all 10 atoms:
Sr: 0.000 0.000 0.000
Sr: 0.500 0.500 0.000
Cd: 0.120 0.380 0.000
Cd: 0.380 0.880 0.000
Cd: 0.620 0.120 0.000
Cd: 0.880 0.620 0.000
Hg: 0.180 0.680 0.500
Hg: 0.320 0.180 0.500
Hg: 0.680 0.820 0.500
Hg: 0.820 0.320 0.500

Values from the calculation:
* E: -1.01 eV per atom
* V: 277.7 Å³ per cell
* E above lowest polymorph: 0.609 eV per formula unit



10.
Below is a relaxed structure of SrCd6Hg6, with properties calculated at the PBE-GGA level.

Cell: 7.888 7.888 7.888 Å, 134.01 99.56 98.00°
Fractional coordinates of all 13 atoms:
Sr: 0.000 0.000 0.000
Cd: 0.000 0.000 0.500
Cd: 0.000 0.500 0.000
Cd: 0.245 0.500 0.745
Cd: 0.500 0.000 0.000
Cd: 0.500 0.500 0.500
Cd: 0.755 0.500 0.255
Hg: 0.177 0.677 0.500
Hg: 0.338 0.338 0.000
Hg: 0.353 0.000 0.353
Hg: 0.647 0.000 0.647
Hg: 0.662 0.662 0.000
Hg: 0.823 0.323 0.500

Values from the calculation:
* E: -0.81 eV per atom
* V: 324.9 Å³ per cell



11.
Below is a relaxed structure of Sr3CdHg12, with properties calculated at the PBE-GGA level.

Cell: 4.878 4.878 18.695 Å, 90.00 90.00 90.00°
Fractional coordinates of all 16 atoms:
Sr: 0.000 0.000 0.000
Sr: 0.000 0.000 0.264
Sr: 0.000 0.000 0.736
Cd: 0.000 0.000 0.500
Hg: 0.000 0.500 0.130
Hg: 0.000 0.500 0.387
Hg: 0.000 0.500 0.613
Hg: 0.000 0.500 0.870
Hg: 0.500 0.000 0.130
Hg: 0.500 0.000 0.387
Hg: 0.500 0.000 0.613
Hg: 0.500 0.000 0.870
Hg: 0.500 0.500 0.000
Hg: 0.500 0.500 0.255
Hg: 0.500 0.500 0.500
Hg: 0.500 0.500 0.745

Values from the calculation:
* E: -0.91 eV per atom
* V: 444.8 Å³ per cell



12.
Below is a relaxed structure of Sr2Cd5Hg4, with properties calculated at the PBE-GGA level.

Cell: 7.620 7.620 7.620 Å, 132.96 101.60 96.74°
Fractional coordinates of all 11 atoms:
Sr: 0.214 0.214 0.000
Sr: 0.786 0.786 0.000
Cd: 0.000 0.500 0.500
Cd: 0.322 0.256 0.578
Cd: 0.322 0.744 0.066
Cd: 0.678 0.256 0.934
Cd: 0.678 0.744 0.422
Hg: 0.083 0.746 0.336
Hg: 0.410 0.746 0.664
Hg: 0.590 0.254 0.336
Hg: 0.917 0.254 0.664

Values from the calculation:
* E: -1.08 eV per atom
* V: 296.5 Å³ per cell
* E above lowest polymorph: 0.000 eV per formula unit



13.
Below is a relaxed structure of SrCd3Hg3, with properties calculated at the PBE-GGA level.

Cell: 8.316 8.316 8.316 Å, 57.22 57.22 57.22°
Fractional coordinates of all 14 atoms:
Sr: 0.110 0.110 0.110
Sr: 0.890 0.890 0.890
Cd: 0.201 0.201 0.575
Cd: 0.201 0.575 0.201
Cd: 0.425 0.799 0.799
Cd: 0.575 0.201 0.201
Cd: 0.799 0.425 0.799
Cd: 0.799 0.799 0.425
Hg: 0.139 0.600 0.600
Hg: 0.400 0.400 0.861
Hg: 0.400 0.861 0.400
Hg: 0.600 0.139 0.600
Hg: 0.600 0.600 0.139
Hg: 0.861 0.400 0.400

Values from the calculation:
* E: -0.96 eV per atom
* V: 380.6 Å³ per cell
* E above lowest polymorph: 0.206 eV per formula unit



14.
Below is a relaxed structure of SrCd2Hg, with properties calculated at the PBE-GGA level.

Cell: 8.017 6.290 6.290 Å, 44.24 90.00 90.00°
Fractional coordinates of all 8 atoms:
Sr: 0.000 0.000 0.000
Sr: 0.500 0.144 0.144
Cd: 0.000 0.291 0.291
Cd: 0.308 0.437 0.437
Cd: 0.500 0.853 0.853
Cd: 0.692 0.437 0.437
Hg: 0.199 0.691 0.691
Hg: 0.801 0.691 0.691

Values from the calculation:
* E: -1.28 eV per atom
* V: 221.3 Å³ per cell



15.
Below is a relaxed structure of SrCd6Hg12, with properties calculated at the PBE-GGA level.

Cell: 8.440 8.440 8.440 Å, 106.05 106.05 106.05°
Fractional coordinates of all 19 atoms:
Sr: 0.000 0.000 0.000
Cd: 0.292 0.696 0.696
Cd: 0.304 0.304 0.708
Cd: 0.304 0.708 0.304
Cd: 0.696 0.292 0.696
Cd: 0.696 0.696 0.292
Cd: 0.708 0.304 0.304
Hg: 0.112 0.500 0.888
Hg: 0.112 0.888 0.500
Hg: 0.118 0.362 0.362
Hg: 0.362 0.118 0.362
Hg: 0.362 0.362 0.118
Hg: 0.500 0.112 0.888
Hg: 0.500 0.888 0.112
Hg: 0.638 0.638 0.882
Hg: 0.638 0.882 0.638
Hg: 0.882 0.638 0.638
Hg: 0.888 0.112 0.500
Hg: 0.888 0.500 0.112

Values from the calculation:
* E: -0.61 eV per atom
* V: 513.1 Å³ per cell
* E above lowest polymorph: 0.679 eV per formula unit



16.
Below is a relaxed structure of SrCd17Hg, with properties calculated at the PBE-GGA level.

Cell: 7.817 7.817 7.817 Å, 82.67 82.67 82.67°
Fractional coordinates of all 19 atoms:
Sr: 0.000 0.000 0.000
Cd: 0.026 0.335 0.628
Cd: 0.026 0.628 0.335
Cd: 0.190 0.683 0.683
Cd: 0.238 0.238 0.238
Cd: 0.324 0.324 0.832
Cd: 0.324 0.832 0.324
Cd: 0.335 0.026 0.628
Cd: 0.335 0.628 0.026
Cd: 0.440 0.440 0.440
Cd: 0.480 0.978 0.978
Cd: 0.628 0.026 0.335
Cd: 0.628 0.335 0.026
Cd: 0.683 0.190 0.683
Cd: 0.683 0.683 0.190
Cd: 0.832 0.324 0.324
Cd: 0.978 0.480 0.978
Cd: 0.978 0.978 0.480
Hg: 0.780 0.780 0.780

Values from the calculation:
* E: -0.98 eV per atom
* V: 466.9 Å³ per cell



17.
Below is a relaxed structure of Sr2Cd3Hg4, with properties calculated at the PBE-GGA level.

Cell: 5.217 5.222 10.274 Å, 89.50 89.84 60.04°
Fractional coordinates of all 9 atoms:
Sr: 0.168 0.161 0.226
Sr: 0.832 0.839 0.774
Cd: 0.165 0.173 0.575
Cd: 0.500 0.500 0.000
Cd: 0.835 0.827 0.425
Hg: 0.166 0.170 0.906
Hg: 0.498 0.508 0.647
Hg: 0.502 0.492 0.353
Hg: 0.834 0.830 0.094

Values from the calculation:
* E: -1.14 eV per atom
* V: 242.5 Å³ per cell
* E above lowest polymorph: 0.000 eV per formula unit



18.
Below is a relaxed structure of Sr6CdHg2, with properties calculated at the PBE-GGA level.

Cell: 9.857 9.857 9.857 Å, 114.06 109.75 104.73°
Fractional coordinates of all 18 atoms:
Sr: 0.053 0.243 0.809
Sr: 0.177 0.281 0.458
Sr: 0.177 0.719 0.896
Sr: 0.337 0.035 0.698
Sr: 0.337 0.639 0.302
Sr: 0.434 0.243 0.191
Sr: 0.566 0.757 0.809
Sr: 0.663 0.361 0.698
Sr: 0.663 0.965 0.302
Sr: 0.823 0.281 0.104
Sr: 0.823 0.719 0.542
Sr: 0.947 0.757 0.191
Cd: 0.000 0.000 0.000
Cd: 0.500 0.500 0.000
Hg: 0.131 0.631 0.500
Hg: 0.333 0.000 0.333
Hg: 0.667 0.000 0.667
Hg: 0.869 0.369 0.500

Values from the calculation:
* E: -1.59 eV per atom
* V: 732.4 Å³ per cell



19.
Below is a relaxed structure of SrCd2Hg6, with properties calculated at the PBE-GGA level.

Cell: 5.443 5.443 9.857 Å, 102.20 102.20 57.05°
Fractional coordinates of all 9 atoms:
Sr: 0.000 0.000 0.000
Cd: 0.342 0.342 0.486
Cd: 0.658 0.658 0.514
Hg: 0.026 0.026 0.349
Hg: 0.304 0.304 0.803
Hg: 0.364 0.364 0.162
Hg: 0.636 0.636 0.838
Hg: 0.696 0.696 0.197
Hg: 0.974 0.974 0.651

Values from the calculation:
* E: -0.78 eV per atom
* V: 237.9 Å³ per cell
* E above lowest polymorph: 0.000 eV per formula unit



20.
Below is a relaxed structure of Sr3Cd3Hg2, with properties calculated at the PBE-GGA level.

Cell: 8.108 8.108 4.432 Å, 90.00 90.00 120.00°
Fractional coordinates of all 8 atoms:
Sr: 0.000 0.603 0.000
Sr: 0.397 0.397 0.000
Sr: 0.603 0.000 0.000
Cd: 0.000 0.221 0.500
Cd: 0.221 0.000 0.500
Cd: 0.779 0.779 0.500
Hg: 0.333 0.667 0.500
Hg: 0.667 0.333 0.500

Values from the calculation:
* E: -1.42 eV per atom
* V: 252.3 Å³ per cell



Summary of ΔE_f in meV per atom
25, 154, 50, 45, 1527, -271, -437, 769, -187, -116, -309, -244, -195, -325, -42, -58, -330, -298, -187, -375
(order as listed above)